[1]
A plane-wave DFT calculation with PBE-GGA was carried out for crystalline Ho3Sc3BiSbOs at its relaxed geometry.

Computed properties:
calculated total energy: -6.467 eV/atom

Lattice parameters (Å, degrees): 7.8972 7.8972 4.1607 90.00 90.00 120.00
Positions (direct):
Ho (0.0589, 0.7197, 0.0000)
Ho (0.2803, 0.3392, 0.0000)
Ho (0.6608, 0.9411, 0.0000)
Sc (0.4416, 0.1066, 0.5000)
Sc (0.6649, 0.5584, 0.5000)
Sc (0.8934, 0.3351, 0.5000)
Bi (0.0000, 0.0000, 0.5000)
Sb (0.3333, 0.6667, 0.5000)
Os (0.6667, 0.3333, 0.0000)



[2]
A plane-wave DFT calculation with PBE-GGA was carried out for crystalline AlZnGaTe2Se2 at its relaxed geometry.

Computed properties:
polymorph energy (0 for the lowest one): 0 meV/atom

Lattice parameters (Å, degrees): 5.8101 5.8485 7.0232 113.54 114.08 90.05
Positions (direct):
Al (0.0000, 0.0000, 0.0000)
Zn (0.5008, 0.4607, 0.0012)
Ga (0.7689, 0.2273, 0.5004)
Te (0.3654, 0.8489, 0.2728)
Te (0.6002, 0.6149, 0.7282)
Se (0.1299, 0.0881, 0.7437)
Se (0.8954, 0.3616, 0.2575)